YCrF3: optimized geometry, GGA+U.

The structure in POSCAR format:
```
YCrF3
1.0
-2.543 3.637 0.650
-0.428 -1.074 4.334
3.670 2.395 0.956
F Cr Y
3 1 1
direct
0.500 0.000 0.000
0.000 0.000 0.500
0.000 0.500 0.000
0.500 0.500 0.500
0.000 0.000 0.000
```

Output
Raw total energy in eV for the cell shown: -32.873
D(E_F) in states/eV/cell: 1.10
Size of the total moment in Bohr magnetons per cell: 5.80
Symmetry: Pm-3m (221)